Arrangement P

The following is a PBE calculation of crystalline Ir4RuW at its relaxed geometry, from Alexandria.

The structure in POSCAR format:
```
Ir4RuW
1.0
2.735 -7.398 0.000
2.735 7.398 0.000
0.000 0.000 4.506
Ir Ru W
8 2 2
Cartesian
1.366 2.142 3.380 Ir
1.352 0.581 1.127 Ir
1.352 -0.581 3.380 Ir
1.366 -2.142 1.127 Ir
4.104 2.142 3.380 Ir
4.118 0.581 1.127 Ir
4.118 -0.581 3.380 Ir
4.104 -2.142 1.127 Ir
2.735 4.502 3.380 Ru
2.735 -4.502 1.127 Ru
2.735 2.907 1.127 W
2.735 -2.907 3.380 W
```

Summary:
space group: Cmcm, No. 63
theoretical density: 19190 kg/m³

Arrangement Q

The following is a PBE calculation of crystalline Ir4RuW at its relaxed geometry, from Alexandria.

The structure in POSCAR format:
```
Ir4RuW
1.0
3.873 -2.069 0.000
3.873 2.069 0.000
-3.605 0.000 6.465
Ir Ru W
4 1 1
Cartesian
1.421 0.000 0.734 Ir
-0.404 0.000 4.010 Ir
4.545 0.000 2.455 Ir
2.720 0.000 5.731 Ir
3.873 0.000 0.000 Ru
2.071 0.000 3.232 W
```

Summary:
space group: C2/m, No. 12
theoretical density: 16891 kg/m³

Relative to the most stable structure, the computed energies are arrangement P 0; arrangement Q 373, all in meV/atom.

Arrangement P

The following is a PBE calculation of crystalline Ir3Ru3W2 at its relaxed geometry, from Alexandria.

The structure in POSCAR format:
```
Ir3Ru3W2
1.0
3.877 0.000 0.000
0.000 3.898 0.000
0.000 0.000 7.715
Ir Ru W
3 3 2
Cartesian
0.000 0.000 0.000 Ir
1.939 0.000 1.927 Ir
1.939 0.000 5.788 Ir
0.000 0.000 3.858 Ru
1.939 1.949 0.000 Ru
1.939 1.949 3.858 Ru
0.000 1.949 1.951 W
0.000 1.949 5.764 W
```

Summary:
space group: Pmmm, No. 47
theoretical density: 17766 kg/m³

Arrangement Q

The following is a PBE calculation of crystalline Ir3Ru3W2 at its relaxed geometry, from Alexandria.

The structure in POSCAR format:
```
Ir3Ru3W2
1.0
3.481 2.010 2.892
-3.481 2.010 2.892
0.000 -4.019 2.892
Ir Ru W
3 3 2
Cartesian
-0.823 -2.593 2.892 Ir
-1.834 2.010 2.892 Ir
2.658 0.584 2.892 Ir
-1.807 0.000 4.339 Ru
0.904 -1.565 4.338 Ru
0.904 1.565 4.338 Ru
0.000 0.000 2.177 W
0.000 0.000 6.500 W
```

Summary:
space group: R32, No. 155
theoretical density: 17065 kg/m³

Relative to the most stable structure, the computed energies are arrangement P 0; arrangement Q 429, all in meV/atom.

Arrangement P

The following is a PBE calculation of crystalline IrRu4W at its relaxed geometry, from Alexandria.

The structure in POSCAR format:
```
IrRu4W
1.0
0.000 3.553 3.553
3.553 0.000 3.553
3.553 3.553 0.000
Ir Ru W
1 4 1
Cartesian
0.000 0.000 0.000 Ir
4.448 2.659 2.659 Ru
2.659 4.448 2.659 Ru
2.659 2.659 4.448 Ru
4.448 4.448 4.448 Ru
1.777 1.777 1.777 W
```

Summary:
space group: F-43m, No. 216
theoretical density: 14439 kg/m³

Arrangement Q

The following is a PBE calculation of crystalline IrRu4W at its relaxed geometry, from Alexandria.

The structure in POSCAR format:
```
IrRu4W
1.0
4.363 0.000 0.000
0.000 1.380 7.148
0.000 -1.380 7.148
Ir Ru W
1 4 1
Cartesian
0.000 0.000 0.000 Ir
0.000 0.000 4.739 Ru
0.000 0.000 9.526 Ru
2.182 0.000 7.894 Ru
2.182 0.000 12.671 Ru
2.182 0.000 3.176 W
```

Summary:
space group: Amm2, No. 38
theoretical density: 15056 kg/m³

Relative to the most stable structure, the computed energies are arrangement P 521; arrangement Q 0, all in meV/atom.

Arrangement P

The following is a PBE calculation of crystalline Ir3RuW at its relaxed geometry, from Alexandria.

The structure in POSCAR format:
```
Ir3RuW
1.0
2.374 -6.895 0.000
2.374 6.895 0.000
-1.566 0.000 4.480
Ir Ru W
6 2 2
Cartesian
1.199 6.165 3.360 Ir
1.199 3.480 3.360 Ir
1.199 0.741 3.360 Ir
1.982 -0.741 1.120 Ir
1.982 -3.480 1.120 Ir
1.982 -6.165 1.120 Ir
1.982 4.854 1.120 Ru
1.199 -4.854 3.360 Ru
1.982 2.066 1.120 W
1.199 -2.066 3.360 W
```

Summary:
space group: C2/c, No. 15
theoretical density: 19513 kg/m³

Arrangement Q

The following is a PBE calculation of crystalline Ir3RuW at its relaxed geometry, from Alexandria.

The structure in POSCAR format:
```
Ir3RuW
1.0
4.709 0.000 0.000
0.000 4.709 0.000
0.000 0.000 4.709
Ir Ru W
3 1 1
Cartesian
0.000 0.000 2.354 Ir
0.000 2.354 0.000 Ir
2.354 0.000 0.000 Ir
2.354 2.354 2.354 Ru
0.000 0.000 0.000 W
```

Summary:
space group: Pm-3m, No. 221
theoretical density: 13702 kg/m³

Arrangement R

The following is a PBE calculation of crystalline Ir3RuW at its relaxed geometry, from Alexandria.

The structure in POSCAR format:
```
Ir3RuW
1.0
8.490 0.000 0.000
0.000 3.676 2.548
0.000 -3.676 2.548
Ir Ru W
6 2 2
Cartesian
0.606 -2.537 2.548 Ir
2.122 -0.444 1.617 Ir
3.639 -2.537 2.548 Ir
4.850 2.537 2.548 Ir
6.367 0.444 1.617 Ir
7.884 2.537 2.548 Ir
2.122 2.457 1.738 Ru
6.367 -2.457 1.738 Ru
0.000 0.000 2.848 W
4.245 0.000 2.848 W
```

Summary:
space group: Ama2, No. 40
theoretical density: 17992 kg/m³

Arrangement S

The following is a PBE calculation of crystalline Ir3RuW at its relaxed geometry, from Alexandria.

The structure in POSCAR format:
```
Ir3RuW
1.0
4.607 0.000 0.000
0.000 4.607 0.000
0.000 0.000 4.607
Ir Ru W
3 1 1
Cartesian
0.000 0.000 2.303 Ir
0.000 2.303 0.000 Ir
2.303 0.000 0.000 Ir
0.000 0.000 0.000 Ru
2.303 2.303 2.303 W
```

Summary:
space group: Pm-3m, No. 221
theoretical density: 14632 kg/m³

Relative to the most stable structure, the computed energies are arrangement P 0; arrangement Q 2175; arrangement R 380; arrangement S 2461, all in meV/atom.